Ir2OsRh | SCAN | single point on PBEsol structure

## Properties
raw total energy = -61.95 eV per atom
E_form = 0.009 eV/atom
energy above the lowest structure with this stoichiometry = 25.2 meV/atom
symmetry = Cmmm (65)

Lattice parameters (Å, degrees): 2.696 4.669 4.669 109.41 90.00 90.00
Atoms (fractional coordinates):
Os  0.500  0.500  0.500
Ir  0.000  0.000  0.500
Ir  0.000  0.500  0.000
Rh  0.500  0.000  0.000